Density functional theory data (meta-GGA SCAN) for a crystal of MgSc3Re relaxed with PBEsol.

Values from the calculation:
ΔH_f (0 K) in eV per formula unit: 0.8
Magnetic moment in μB/f.u.: 0.0
Density in kg/m3: 4492

Cell lengths 5.0356, 5.0356, 5.0356 Å; angles 90.00, 90.00, 90.00 degrees
Space group Pm-3m (No. 221)
Unique sites:
Mg: 0.0000 0.0000 0.0000 (multiplicity 1)
Sc: 0.0000 0.5000 0.5000 (multiplicity 3)
Re: 0.5000 0.5000 0.5000 (multiplicity 1)

---

Density functional theory data (meta-GGA SCAN) for a crystal of DyFe4Cu3O12 relaxed with PBEsol.

Values from the calculation:
Formation energy from raw total energies in eV/atom: -1.63
Magnetic moment in μB/f.u.: 4.0
Density in kg/m3: 7090

Cell lengths 7.1136, 7.1136, 7.1136 Å; angles 90.00, 90.00, 90.00 degrees
Space group Im-3 (No. 204)
Unique sites:
Dy: 0.0000 0.0000 0.0000 (multiplicity 2)
Fe: 0.2500 0.2500 0.2500 (multiplicity 8)
Cu: 0.0000 0.0000 0.5000 (multiplicity 6)
O: 0.0000 0.3005 0.1771 (multiplicity 24)

---

The highest magnetic moment belongs to which entry?
DyFe4Cu3O12

---

What is the formula in the first record?
MgSc3Re